# PBE-GGA La6GeTe3Pb2, relaxed
data_La6GeTe3Pb2
_cell_length_a 20.109
_cell_length_b 4.589
_cell_length_c 9.271
_cell_angle_alpha 90.00
_cell_angle_beta 103.23
_cell_angle_gamma 90.00
_symmetry_space_group_name_H-M 'C 1 2/m 1'
_symmetry_Int_Tables_number 12
loop_
_symmetry_equiv_pos_as_xyz
'x,y,z'
'-x,-y,-z'
'-x,y,-z'
'x,-y,z'
'x+1/2,y+1/2,z'
'-x+1/2,-y+1/2,-z'
'-x+1/2,y+1/2,-z'
'x+1/2,-y+1/2,z'
loop_
_atom_site_label
_atom_site_fract_x
_atom_site_fract_y
_atom_site_fract_z
La1 0.000 0.000 0.231
La2 0.159 0.500 0.082
La3 0.167 0.500 0.580
Ge1 0.000 0.500 0.000
Te1 0.000 0.500 0.500
Te2 0.168 0.000 0.834
Pb1 0.166 0.000 0.332
# DOS at the Fermi energy = 0.312 states/eV/atom
# magnetic moment = 0.000 μB/f.u.
# raw formation energy = -1165.2 meV per atom